# YRu3C (PBE, optimized geometry)
# Energy of formation from the pure elements ... 34 meV/atom
# Magnetic moment ... 0.0 μB/f.u.
# Symmetry ... No. 74
# Total energy ... -8.669 eV/atom
data_YRu3C
_cell_length_a 19.6412
_cell_length_b 9.3816
_cell_length_c 9.3816
_cell_angle_alpha 154.86
_cell_angle_beta 162.87
_cell_angle_gamma 17.13
_space_group_name_H-M_alt 'P 1'
_space_group_IT_number 1
_space_group_name_Hall 'P 1'
loop_
_atom_site_label
_atom_site_fract_x
_atom_site_fract_y
_atom_site_fract_z
C1 0.9226 0.9039 0.0961
C2 0.0774 0.0961 0.9039
Ru1 0.4447 0.3600 0.6400
Ru2 0.0515 0.6474 0.3526
Ru3 0.9485 0.3526 0.6474
Ru4 0.1869 0.8765 0.1235
Ru5 0.8131 0.1235 0.8765
Ru6 0.5553 0.6400 0.3600
Y1 0.6780 0.8941 0.1059
Y2 0.3220 0.1059 0.8941

# BaMo2IrAu (PBE, optimized geometry)
# Energy of formation from the pure elements ... 2041 meV/atom
# Magnetic moment ... 6.0 μB/f.u.
# Symmetry ... No. 123
# Total energy ... -5.104 eV/atom
data_BaMo2IrAu
_cell_length_a 5.0724
_cell_length_b 5.8245
_cell_length_c 5.0724
_cell_angle_alpha 90.00
_cell_angle_beta 90.00
_cell_angle_gamma 90.00
_space_group_name_H-M_alt 'P 1'
_space_group_IT_number 1
_space_group_name_Hall 'P 1'
loop_
_atom_site_label
_atom_site_fract_x
_atom_site_fract_y
_atom_site_fract_z
Au1 0.0000 0.0000 0.0000
Mo1 0.0000 0.0000 0.5000
Mo2 0.5000 0.0000 0.0000
Ba1 0.0000 0.5000 0.0000
Ir1 0.5000 0.5000 0.5000

# YFeIr3 (PBE, optimized geometry)
# Energy of formation from the pure elements ... 2222 meV/atom
# Energy above the lowest structure with this stoichiometry ... 1789 meV/atom
# Magnetic moment ... 5.2 μB/f.u.
# Symmetry ... No. 221
# Total energy ... -6.080 eV/atom
data_YFeIr3
_cell_length_a 4.9626
_cell_length_b 4.9626
_cell_length_c 4.9626
_cell_angle_alpha 90.00
_cell_angle_beta 90.00
_cell_angle_gamma 90.00
_space_group_name_H-M_alt 'P 1'
_space_group_IT_number 1
_space_group_name_Hall 'P 1'
loop_
_atom_site_label
_atom_site_fract_x
_atom_site_fract_y
_atom_site_fract_z
Y1 0.0000 0.0000 0.0000
Ir1 0.0000 0.5000 0.0000
Ir2 0.0000 0.0000 0.5000
Ir3 0.5000 0.0000 0.0000
Fe1 0.5000 0.5000 0.5000